BaSrMo2: relaxed, GGA-PBE.

Output
distance to the lowest polymorph of the same formula: 0.856 eV per atom
total energy: -4.931 eV per atom
formation energy: 1.39 eV per atom

```
BaSrMo2
1.0
5.9447 0.0000 0.0000
0.0000 11.0374 0.0000
-0.0099 0.0000 2.9880
Ba Sr Mo
2 2 4
direct
0.0000 0.0000 0.0000 Ba
0.5000 0.5000 0.0000 Ba
0.0000 0.5000 0.0000 Sr
0.5000 0.0000 0.0000 Sr
0.2500 0.2500 0.5000 Mo
0.2500 0.7500 0.5000 Mo
0.7500 0.2500 0.5000 Mo
0.7500 0.7500 0.5000 Mo
```

NbBrNO2: relaxed, GGA-PBE.

Output
total energy: -4.855 eV per atom

```
NbBrNO2
1.0
3.9087 0.0000 0.0000
0.0000 3.9087 0.0000
0.0000 0.0000 4.2334
Nb Br N O
1 1 1 2
direct
0.0000 0.0000 0.0000 Nb
0.5000 0.5000 0.5000 Br
0.5000 0.5000 0.0000 N
0.0000 0.5000 0.5000 O
0.5000 0.0000 0.5000 O
```

total energy of number 2 (NbBrNO2)?
-4.855 eV per atom